1.
DFT (PBE) results for BaZr2Br after structural relaxation.

Structure (POSCAR):
```
BaZr2Br
1.0
3.407 0.000 0.000
0.000 5.268 0.000
0.000 0.000 6.824
Ba Zr Br
1 2 1
Direct
0.000 0.000 0.000
0.000 0.500 0.500
0.500 0.000 0.500
0.500 0.500 0.000
```

M_tot in μB per formula unit: 0.00
DOS at the Fermi energy in states/eV/cell: 4.1
Uncorrected energy in eV per atom: -5.093
Space-group type: Pmmm, No. 47

2.
DFT (PBE) results for Ti5NiPd2Rh2 after structural relaxation.

Structure (POSCAR):
```
Ti5NiPd2Rh2
1.0
10.530 0.000 0.000
0.000 10.530 0.000
0.000 0.000 2.921
Ti Ni Pd Rh
10 2 4 4
Direct
0.000 0.500 0.000
0.125 0.158 0.000
0.158 0.875 0.000
0.342 0.375 0.000
0.375 0.658 0.000
0.500 0.000 0.000
0.625 0.342 0.000
0.658 0.625 0.000
0.842 0.125 0.000
0.875 0.842 0.000
0.000 0.000 0.500
0.500 0.500 0.500
0.155 0.655 0.500
0.345 0.155 0.500
0.655 0.845 0.500
0.845 0.345 0.500
0.144 0.356 0.500
0.356 0.856 0.500
0.644 0.144 0.500
0.856 0.644 0.500
```

M_tot in μB per formula unit: 0.00
DOS at the Fermi energy in states/eV/cell: 18.1
Space-group type: P4/mbm, No. 127
ΔE_f in eV/f.u.: -3.8

3.
DFT (PBE) results for RbCd2In after structural relaxation.

Structure (POSCAR):
```
RbCd2In
1.0
3.996 0.000 0.000
0.000 3.996 0.000
0.000 0.000 8.319
Rb Cd In
1 2 1
Direct
0.000 0.000 0.000
0.500 0.500 0.310
0.500 0.500 0.690
0.000 0.000 0.500
```

M_tot in μB per formula unit: 0.00
DOS at the Fermi energy in states/eV/cell: 1.7
Space-group type: P4/mmm, No. 123
ΔE_f in eV/f.u.: 0.1